## A
Below is crystalline HoPaPb2 at its relaxed geometry, with properties calculated at the PBE level.

Cell: 5.4118 5.4118 5.4118 Å, 60.00 60.00 60.00°
Element x y z (fractional)
Pa (0.0000, 0.0000, 0.0000)
Pb (0.7500, 0.7500, 0.7500)
Pb (0.2500, 0.2500, 0.2500)
Ho (0.5000, 0.5000, 0.5000)

size of the total moment = 2.26 μB/cell
volume = 112 Å³/f.u.

## B
Below is crystalline HoPaPb2 at its relaxed geometry, with properties calculated at the PBE level.

Cell: 3.4668 3.4668 9.1096 Å, 90.00 90.00 90.00°
Element x y z (fractional)
Pa (0.5000, 0.5000, 0.5000)
Pb (0.0000, 0.0000, 0.2464)
Pb (0.0000, 0.0000, 0.7536)
Ho (0.5000, 0.5000, 0.0000)

size of the total moment = 0.82 μB/cell
volume = 109 Å³/f.u.

## C
Below is crystalline HoPaPb2 at its relaxed geometry, with properties calculated at the PBE level.

Cell: 4.4339 4.9898 4.9898 Å, 90.00 90.00 90.00°
Element x y z (fractional)
Pb (0.0000, 0.0000, 0.5000)
Pb (0.0000, 0.5000, 0.0000)
Pa (0.5000, 0.5000, 0.5000)
Ho (0.5000, 0.0000, 0.0000)

size of the total moment = 0.97 μB/cell
volume = 110 Å³/f.u.

The data favor B; the next most stable structure lies 19 meV/atom above it.

## A
Below is crystalline Ho2PaPd at its relaxed geometry, with properties calculated at the PBE level.

Cell: 3.2526 3.2526 11.0158 Å, 81.51 81.51 60.00°
Element x y z (fractional)
Pa (0.0000, 0.0000, 0.0000)
Pd (0.5000, 0.5000, 0.5000)
Ho (0.9018, 0.9018, 0.2947)
Ho (0.0982, 0.0982, 0.7053)

size of the total moment = 0.00 μB/cell
volume = 99 Å³/f.u.

## B
Below is crystalline Ho2PaPd at its relaxed geometry, with properties calculated at the PBE level.

Cell: 3.4578 3.4578 8.1523 Å, 90.00 90.00 90.00°
Element x y z (fractional)
Pd (0.5000, 0.5000, 0.0000)
Ho (0.0000, 0.0000, 0.7868)
Ho (0.0000, 0.0000, 0.2132)
Pa (0.5000, 0.5000, 0.5000)

size of the total moment = 0.11 μB/cell
volume = 97 Å³/f.u.

The data favor B; the next most stable structure lies 317 meV/atom above it.

## A
Below is crystalline HoPaPd at its relaxed geometry, with properties calculated at the PBE level.

Cell: 3.5937 3.5937 6.1509 Å, 106.99 106.99 90.00°
Element x y z (fractional)
Pd (0.6817, 0.6817, 0.3633)
Ho (0.0095, 0.0095, 0.0190)
Pa (0.3088, 0.3088, 0.6177)

size of the total moment = 0.00 μB/cell
volume = 72 Å³/f.u.

## B
Below is crystalline HoPaPd at its relaxed geometry, with properties calculated at the PBE level.

Cell: 3.1203 7.2023 6.9305 Å, 103.70 103.01 90.00°
Element x y z (fractional)
Ho (0.0262, 0.7648, 0.0524)
Ho (0.9738, 0.2352, 0.9476)
Pa (0.7766, 0.8511, 0.5533)
Pa (0.2234, 0.1489, 0.4467)
Pd (0.8383, 0.4917, 0.6765)
Pd (0.1617, 0.5083, 0.3235)

size of the total moment = 0.00 μB/cell
volume = 74 Å³/f.u.

The data favor A; the next most stable structure lies 232 meV/atom above it.